# 1
{"formula": "TbPm6Pr3Er2", "functional": "PBE", "state": "optimized geometry", "magmom_total_mub_per_fu": 0.0, "final_energy_ev_per_cell": -56.39, "lattice_angstrom": [[3.152, -5.460, 0.000], [3.152, 5.460, 0.000], [-2.105, 0.000, 11.847]], "species": ["Tb", "Pm", "Pm", "Pm", "Pm", "Pm", "Pm", "Pr", "Pr", "Pr", "Er", "Er"], "fractional_positions": [[0.000, 0.000, 0.000], [0.082, 0.416, 0.245], [0.252, 0.252, 0.755], [0.416, 0.082, 0.245], [0.584, 0.918, 0.755], [0.748, 0.748, 0.245], [0.918, 0.584, 0.755], [0.167, 0.833, 0.500], [0.500, 0.500, 0.500], [0.833, 0.167, 0.500], [0.333, 0.667, 0.000], [0.667, 0.333, 0.000]]}

# 2
{"formula": "BaTaAl", "functional": "PBE", "state": "optimized geometry", "magmom_total_mub_per_fu": 2.0, "e_above_lowest_polymorph_ev_per_fu": 4.02, "lattice_angstrom": [[0.000, 3.636, 3.636], [3.636, 0.000, 3.636], [3.636, 3.636, 0.000]], "species": ["Ba", "Ta", "Al"], "fractional_positions": [[0.000, 0.000, 0.000], [0.250, 0.250, 0.250], [0.750, 0.750, 0.750]]}

# 3
{"formula": "VAgRu2Au", "functional": "PBE", "state": "optimized geometry", "magmom_total_mub_per_fu": 0.8, "final_energy_ev_per_cell": -28.67, "lattice_angstrom": [[4.414, 0.000, 0.000], [0.000, 4.414, 0.000], [0.000, 0.000, 4.913]], "species": ["V", "Ag", "Ru", "Ru", "Au"], "fractional_positions": [[0.000, 0.000, 0.000], [0.500, 0.500, 0.500], [0.000, 0.500, 0.000], [0.500, 0.000, 0.000], [0.000, 0.000, 0.500]]}

# 4
{"formula": "DyHPt", "functional": "PBE", "state": "optimized geometry", "magmom_total_mub_per_fu": 0.0, "e_above_lowest_polymorph_ev_per_fu": 0.00, "lattice_angstrom": [[1.896, -5.261, 0.000], [1.896, 5.261, 0.000], [0.000, 0.000, 4.693]], "species": ["Dy", "Dy", "H", "H", "Pt", "Pt"], "fractional_positions": [[0.137, 0.863, 0.750], [0.863, 0.137, 0.250], [0.100, 0.900, 0.250], [0.900, 0.100, 0.750], [0.411, 0.589, 0.750], [0.589, 0.411, 0.250]]}